VASP calculation (GGA-PBE) on an optimized crystal structure of ThScTl.

a = 3.552 Å, b = 3.552 Å, c = 7.047 Å
α = 104.60°, β = 104.60°, γ = 90.00°
Fractional positions:
Tl  0.964  0.964  0.928
Sc  0.604  0.604  0.207
Th  0.282  0.282  0.565

## Properties
ΔH_f (0 K): -0.10 eV per atom
symmetry: I4mm (107)
relative energy among the computed polymorphs: 0.24 eV per formula unit